(1)
The following is a GGA-PBE calculation of a geometry-optimized Re3Sb structure, from the Alexandria database.

Lattice parameters (Å, degrees): 8.4374 8.4374 8.4374 152.07 152.07 39.91
Last column: nearest neighbours and their distance in Å.
Fractional coordinates of all 8 atoms:
Re1 0.7500 0.2500 0.5000  8 Re 2.72-2.88, 4 Sb 2.91
Re2 0.2500 0.7500 0.5000  8 Re 2.72-2.88, 4 Sb 2.91
Re3 0.1362 0.1362 0.0000  8 Re 2.72-2.97, 4 Sb 2.89
Sb1 0.6189 0.6189 0.0000  12 Re 2.78-2.91
Re4 0.5000 0.0000 0.5000  4 Sb 2.78, 8 Re 2.88-2.97
Sb2 0.3811 0.3811 0.0000  12 Re 2.78-2.91
Re5 0.8638 0.8638 0.0000  8 Re 2.72-2.97, 4 Sb 2.89
Re6 0.0000 0.5000 0.5000  4 Sb 2.78, 8 Re 2.88-2.97

Results
energy relative to the elements, uncorrected	67	kJ per mole of atoms
energy above the lowest structure with this stoichiometry	281.3	meV/atom
symmetry	I4/mmm, No. 139

=====

(2)
The following is a GGA-PBE calculation of a geometry-optimized TlCdI2O structure, from the Alexandria database.

Lattice parameters (Å, degrees): 6.2041 6.2041 4.1243 90.00 90.00 90.00
Last column: nearest neighbours and their distance in Å.
Fractional coordinates of all 5 atoms:
I1 0.5000 0.0000 0.0000  2 Tl 3.10
O1 0.0000 0.0000 0.5000  2 Tl 2.06
Cd1 0.5000 0.5000 0.5000  8 I 3.72, 2 Cd 4.12
Tl1 0.0000 0.0000 0.0000  2 O 2.06
I2 0.0000 0.5000 0.0000  2 Tl 3.10

Results
energy relative to the elements, uncorrected	-5	kJ per mole of atoms
energy above the lowest structure with this stoichiometry	276.4	meV/atom
symmetry	P4/mmm, No. 123

=====

(3)
The following is a GGA-PBE calculation of a geometry-optimized TaHgAs2C structure, from the Alexandria database.

Lattice parameters (Å, degrees): 5.0018 5.3071 5.0018 90.00 90.00 90.00
Last column: nearest neighbours and their distance in Å.
Fractional coordinates of all 5 atoms:
Hg1 0.0000 0.0000 0.0000  4 As 2.50, 2 Ta 2.65
C1 0.5000 0.5000 0.5000  4 Ta 3.54, 8 As 3.65
Ta1 0.0000 0.5000 0.0000  2 Hg 2.65
As1 0.0000 0.0000 0.5000  2 Hg 2.50
As2 0.5000 0.0000 0.0000  2 Hg 2.50

Results
E_form	2915	meV per atom
symmetry	P4/mmm, No. 123

=====

(4)
The following is a GGA-PBE calculation of a geometry-optimized NaTb2Hg3 structure, from the Alexandria database.

Lattice parameters (Å, degrees): 5.2337 5.2337 12.7850 90.00 90.00 120.00
Last column: nearest neighbours and their distance in Å.
Fractional coordinates of all 12 atoms:
Hg1 0.0000 0.0000 0.7501  5 Tb 3.17-3.20, 3 Na 3.21
Tb1 0.0000 0.0000 0.0000  8 Hg 3.19-3.20
Hg2 0.3333 0.6667 0.4205  4 Tb 3.14-3.19, 4 Na 3.14-3.22
Na1 0.6667 0.3333 0.3336  8 Hg 3.14-3.22
Hg3 0.6667 0.3333 0.0814  7 Tb 3.20-3.27, 1 Na 3.22
Hg4 0.3333 0.6667 0.9186  7 Tb 3.20-3.27, 1 Na 3.22
Tb2 0.0000 0.0000 0.5000  8 Hg 3.19-3.20
Tb3 0.6667 0.3333 0.8254  8 Hg 3.14-3.27
Na2 0.3333 0.6667 0.6664  8 Hg 3.14-3.22
Hg5 0.6667 0.3333 0.5795  4 Tb 3.14-3.19, 4 Na 3.14-3.22
Hg6 0.0000 0.0000 0.2499  5 Tb 3.17-3.20, 3 Na 3.21
Tb4 0.3333 0.6667 0.1746  8 Hg 3.14-3.27

Results
energy above the lowest structure with this stoichiometry	0.0	meV/atom
E_form	-399	meV per atom
symmetry	P-3m1, No. 164

=====

Results for calculated total energy: -9.67; -2.32; -3.22; -2.31 (in eV per atom, following the order of the records).